PmGaF6: optimized geometry, PBE-GGA.

a b c (Å): 5.6995 5.6995 14.5304
angles (deg): 90.00 90.00 120.00
Last column: nearest neighbours and their distance in Å.
Space group R-3 (No. 148, hexagonal axes)
One atom of each set of equivalent atoms:
Pm 0.0000 0.0000 0.0000 [3 per cell]  6 F 2.27
Ga 0.0000 0.0000 0.5000 [3 per cell]  6 F 1.92
F 0.0306 0.4344 0.2432 [18 per cell]  1 Ga 1.92

Output
The density of states at the Fermi level comes out at 0.00 states/eV/atom. The value obtained for the total DFT energy (no corrections) is -5.73 eV per atom. The calculation puts the mass density at 4.01 g cm⁻³. Its crystal system is trigonal. The value obtained for the raw formation energy is -2591 kJ/mol of formula units.